## CaAcV2O8 (PBE with a Hubbard U)

Data for a relaxed CaAcV2O8 crystal.

a b c (Å): 6.306 6.306 6.306
angles (deg): 106.35 106.35 115.91
Positions (direct):
Ca1 0.000 0.000 0.000
Ac1 0.250 0.750 0.500
V1 0.500 0.500 0.000
V2 0.750 0.250 0.500
O1 0.334 0.157 0.823
O2 0.334 0.510 0.177
O3 0.407 0.089 0.319
O4 0.490 0.666 0.823
O5 0.770 0.089 0.681
O6 0.843 0.666 0.177
O7 0.911 0.230 0.319
O8 0.911 0.593 0.681

Calculated total energy, eV/atom: -7.46
M_tot, μB/f.u.: 1.06